No. 1
The following is a PBE calculation of a relaxed VHRu3 crystal, from the Alexandria database.

Geometry as CIF:
```
data_VHRu3
_cell_length_a 3.861
_cell_length_b 3.861
_cell_length_c 3.861
_cell_angle_alpha 90.00
_cell_angle_beta 90.00
_cell_angle_gamma 90.00
_symmetry_space_group_name_H-M 'P m -3 m'
_symmetry_Int_Tables_number 221
_symmetry_space_group_name_Hall '-P 4 2 3'
loop_
_atom_site_label
_atom_site_type_symbol
_atom_site_fract_x
_atom_site_fract_y
_atom_site_fract_z
_atom_site_occupancy
V1 V 0.000 0.000 0.000 1
H1 H 0.500 0.500 0.500 1
Ru1 Ru 0.000 0.500 0.500 1
```

Properties
Energy above the most stable polymorph in this dataset (meV/atom): 40
N(E_F) (states/eV per atom): 1.230
M_tot (μB/f.u.): 0.00


No. 2
The following is a PBE calculation of a relaxed IrRuPb2 crystal, from the Alexandria database.

Geometry as CIF:
```
data_IrRuPb2
_cell_length_a 8.568
_cell_length_b 3.337
_cell_length_c 5.693
_cell_angle_alpha 90.00
_cell_angle_beta 103.00
_cell_angle_gamma 90.00
_symmetry_space_group_name_H-M 'C 1 2/m 1'
_symmetry_Int_Tables_number 12
loop_
_symmetry_equiv_pos_as_xyz
'x,y,z'
'-x,-y,-z'
'-x,y,-z'
'x,-y,z'
'x+1/2,y+1/2,z'
'-x+1/2,-y+1/2,-z'
'-x+1/2,y+1/2,-z'
'x+1/2,-y+1/2,z'
loop_
_atom_site_label
_atom_site_type_symbol
_atom_site_fract_x
_atom_site_fract_y
_atom_site_fract_z
_atom_site_occupancy
Ir1 Ir 0.000 0.000 0.000 1
Ru1 Ru 0.000 0.500 0.500 1
Pb1 Pb 0.249 0.000 0.748 1
```

Properties
Energy above the most stable polymorph in this dataset (meV/atom): 248
Energy relative to the elements (eV/atom): 0.597
N(E_F) (states/eV per atom): 0.861
M_tot (μB/f.u.): 0.00


No. 3
The following is a PBE calculation of a relaxed AlTcOs crystal, from the Alexandria database.

Geometry as CIF:
```
data_AlTcOs
_cell_length_a 7.992
_cell_length_b 2.790
_cell_length_c 8.253
_cell_angle_alpha 90.00
_cell_angle_beta 90.00
_cell_angle_gamma 90.00
_symmetry_space_group_name_H-M 'P n m a'
_symmetry_Int_Tables_number 62
loop_
_symmetry_equiv_pos_as_xyz
'x,y,z'
'-x,-y,-z'
'-x+1/2,-y,z+1/2'
'x+1/2,y,-z+1/2'
'x+1/2,-y+1/2,-z+1/2'
'-x+1/2,y+1/2,z+1/2'
'-x,y+1/2,-z'
'x,-y+1/2,z'
loop_
_atom_site_label
_atom_site_type_symbol
_atom_site_fract_x
_atom_site_fract_y
_atom_site_fract_z
_atom_site_occupancy
Al1 Al 0.086 0.250 0.116 1
Tc1 Tc 0.244 0.750 0.885 1
Os1 Os 0.087 0.750 0.607 1
```

Properties
Energy above the most stable polymorph in this dataset (meV/atom): 446
Energy relative to the elements (eV/atom): 0.118
N(E_F) (states/eV per atom): 0.678
M_tot (μB/f.u.): 0.00


No. 4
The following is a PBE calculation of a relaxed TlIO4 crystal, from the Alexandria database.

Geometry as CIF:
```
data_TlIO4
_cell_length_a 6.001
_cell_length_b 6.001
_cell_length_c 13.154
_cell_angle_alpha 90.00
_cell_angle_beta 90.00
_cell_angle_gamma 90.00
_symmetry_space_group_name_H-M 'I 41/a'
_symmetry_Int_Tables_number 88
loop_
_symmetry_equiv_pos_as_xyz
'x,y,z'
'-x,-y,-z'
'-y+3/4,x+1/4,z+1/4'
'y+3/4,-x+1/4,-z+1/4'
'-x+1/2,-y,z+1/2'
'x+1/2,y,-z+1/2'
'y+3/4,-x+3/4,z+3/4'
'-y+3/4,x+3/4,-z+3/4'
'x+1/2,y+1/2,z+1/2'
'-x+1/2,-y+1/2,-z+1/2'
'-y+1/4,x+3/4,z+3/4'
'y+1/4,-x+3/4,-z+3/4'
'-x,-y+1/2,z'
'x,y+1/2,-z'
'y+1/4,-x+1/4,z+1/4'
'-y+1/4,x+1/4,-z+1/4'
loop_
_atom_site_label
_atom_site_type_symbol
_atom_site_fract_x
_atom_site_fract_y
_atom_site_fract_z
_atom_site_occupancy
Tl1 Tl 0.000 0.250 0.125 1
I1 I 0.000 0.250 0.625 1
O1 O 0.124 0.035 0.702 1
```

Properties
Energy relative to the elements, uncorrected (eV per atom): -0.35
Energy above the most stable polymorph in this dataset (meV/atom): 15
N(E_F) (states/eV per atom): 0.000
M_tot (μB/f.u.): 0.00


No. 5
The following is a PBE calculation of a relaxed TlGeS2Cl crystal, from the Alexandria database.

Geometry as CIF:
```
data_TlGeS2Cl
_cell_length_a 5.161
_cell_length_b 5.161
_cell_length_c 5.134
_cell_angle_alpha 90.00
_cell_angle_beta 90.00
_cell_angle_gamma 90.00
_symmetry_space_group_name_H-M 'P 4/m m m'
_symmetry_Int_Tables_number 123
_symmetry_space_group_name_Hall '-P 4 2'
loop_
_atom_site_label
_atom_site_type_symbol
_atom_site_fract_x
_atom_site_fract_y
_atom_site_fract_z
_atom_site_occupancy
Tl1 Tl 0.000 0.000 0.000 1
Ge1 Ge 0.500 0.500 0.500 1
S1 S 0.000 0.500 0.000 1
Cl1 Cl 0.000 0.000 0.500 1
```

Properties
Energy relative to the elements, uncorrected (eV per atom): 0.42
Energy above the most stable polymorph in this dataset (meV/atom): 646
N(E_F) (states/eV per atom): 0.318
M_tot (μB/f.u.): 0.00


No. 6
The following is a PBE calculation of a relaxed YTaMn3 crystal, from the Alexandria database.

Geometry as CIF:
```
data_YTaMn3
_cell_length_a 4.721
_cell_length_b 4.721
_cell_length_c 4.721
_cell_angle_alpha 90.00
_cell_angle_beta 90.00
_cell_angle_gamma 90.00
_symmetry_space_group_name_H-M 'P m -3 m'
_symmetry_Int_Tables_number 221
_symmetry_space_group_name_Hall '-P 4 2 3'
loop_
_atom_site_label
_atom_site_type_symbol
_atom_site_fract_x
_atom_site_fract_y
_atom_site_fract_z
_atom_site_occupancy
Y1 Y 0.000 0.000 0.000 1
Ta1 Ta 0.500 0.500 0.500 1
Mn1 Mn 0.000 0.500 0.500 1
```

Properties
Energy above the most stable polymorph in this dataset (meV/atom): 0
Energy relative to the elements (eV/atom): 0.810
N(E_F) (states/eV per atom): 1.052
M_tot (μB/f.u.): 7.87


No. 7
The following is a PBE calculation of a relaxed Lu2GaAg crystal, from the Alexandria database.

Geometry as CIF:
```
data_Lu2GaAg
_cell_length_a 3.487
_cell_length_b 3.487
_cell_length_c 7.243
_cell_angle_alpha 90.00
_cell_angle_beta 90.00
_cell_angle_gamma 90.00
_symmetry_space_group_name_H-M 'P 4/m m m'
_symmetry_Int_Tables_number 123
_symmetry_space_group_name_Hall '-P 4 2'
loop_
_atom_site_label
_atom_site_type_symbol
_atom_site_fract_x
_atom_site_fract_y
_atom_site_fract_z
_atom_site_occupancy
Lu1 Lu 0.000 0.000 0.248 1
Ga1 Ga 0.500 0.500 0.000 1
Ag1 Ag 0.500 0.500 0.500 1
```

Properties
Energy above the most stable polymorph in this dataset (meV/atom): 8
Energy relative to the elements (eV/atom): -0.460
N(E_F) (states/eV per atom): 0.529
M_tot (μB/f.u.): 0.00


No. 8
The following is a PBE calculation of a relaxed Ag2H3Pd8 crystal, from the Alexandria database.

Geometry as CIF:
```
data_Ag2H3Pd8
_cell_length_a 2.862
_cell_length_b 6.444
_cell_length_c 9.573
_cell_angle_alpha 78.23
_cell_angle_beta 89.93
_cell_angle_gamma 77.17
_symmetry_space_group_name_H-M 'P -1'
_symmetry_Int_Tables_number 2
loop_
_symmetry_equiv_pos_as_xyz
'x,y,z'
'-x,-y,-z'
loop_
_atom_site_label
_atom_site_type_symbol
_atom_site_fract_x
_atom_site_fract_y
_atom_site_fract_z
_atom_site_occupancy
Ag1 Ag 0.248 0.004 0.248 1
H1 H 0.000 0.500 0.000 1
H2 H 0.473 0.552 0.674 1
Pd1 Pd 0.055 0.390 0.647 1
Pd2 Pd 0.153 0.194 0.951 1
Pd3 Pd 0.345 0.808 0.547 1
Pd4 Pd 0.452 0.596 0.855 1
```

Properties
Raw total energy (eV for the cell shown): -58.14
N(E_F) (states/eV per atom): 0.671
M_tot (μB/f.u.): 0.00